The following is a DFT calculation (PBE) of a relaxed GdSc2Hg crystal.

Output
The calculation puts the energy of formation from the pure elements at -7.1 kJ per mole of atoms.

Unit cell a=5.1278 b=5.1278 c=5.1278 alpha=60.00 beta=60.00 gamma=60.00
Element x y z (fractional)
1 Gd 0.0000 0.0000 0.0000
2 Sc 0.2500 0.2500 0.2500
3 Sc 0.7500 0.7500 0.7500
4 Hg 0.5000 0.5000 0.5000


The following is a DFT calculation (PBE) of a relaxed Ce2Fe3Rh crystal.

Output
The calculation puts the energy of formation from the pure elements at -24.4 kJ per mole of atoms.

Unit cell a=5.3560 b=5.3560 c=5.3560 alpha=55.89 beta=55.89 gamma=55.89
Element x y z (fractional)
1 Ce 0.1234 0.1234 0.1234
2 Ce 0.8766 0.8766 0.8766
3 Fe 0.0000 0.5000 0.5000
4 Fe 0.5000 0.0000 0.5000
5 Fe 0.5000 0.5000 0.0000
6 Rh 0.5000 0.5000 0.5000


The following is a DFT calculation (PBE) of a relaxed NaPrSmIn crystal.

Output
The calculation puts the energy of formation from the pure elements at -15.2 kJ per mole of atoms.

Unit cell a=5.5403 b=5.5403 c=5.5403 alpha=60.00 beta=60.00 gamma=60.00
Element x y z (fractional)
1 Na 0.0000 0.0000 0.0000
2 Pr 0.2500 0.2500 0.2500
3 Sm 0.7500 0.7500 0.7500
4 In 0.5000 0.5000 0.5000


The following is a DFT calculation (PBE) of a relaxed Sc4TlIr crystal.

Output
The calculation puts the energy of formation from the pure elements at -35.2 kJ per mole of atoms.

Unit cell a=4.6065 b=4.6065 c=6.9232 alpha=90.00 beta=90.00 gamma=90.00
Element x y z (fractional)
1 Sc 0.0000 0.5000 0.2212
2 Sc 0.0000 0.5000 0.7788
3 Sc 0.5000 0.0000 0.2212
4 Sc 0.5000 0.0000 0.7788
5 Tl 0.0000 0.0000 0.5000
6 Ir 0.5000 0.5000 0.0000


The following is a DFT calculation (PBE) of a relaxed K4Y3USe8 crystal.

Output
The calculation puts the uncorrected formation energy at -25.99 eV per formula unit.

Unit cell a=9.1102 b=9.1102 c=9.1102 alpha=55.27 beta=55.27 gamma=55.27
Element x y z (fractional)
1 K 0.0000 0.0000 0.0000
2 K 0.0000 0.5000 0.5000
3 K 0.5000 0.0000 0.5000
4 K 0.5000 0.5000 0.0000
5 Y 0.0000 0.0000 0.5000
6 Y 0.0000 0.5000 0.0000
7 Y 0.5000 0.0000 0.0000
8 U 0.5000 0.5000 0.5000
9 Se 0.2337 0.7364 0.7364
10 Se 0.2352 0.2352 0.2352
11 Se 0.2636 0.2636 0.7663
12 Se 0.2636 0.7663 0.2636
13 Se 0.7364 0.2337 0.7364
14 Se 0.7364 0.7364 0.2337
15 Se 0.7648 0.7648 0.7648
16 Se 0.7663 0.2636 0.2636


The following is a DFT calculation (PBE) of a relaxed Th3Al9Co2 crystal.

Output
The calculation puts the energy of formation from the pure elements at -43.1 kJ per mole of atoms.

Unit cell a=8.2422 b=8.2422 c=8.2422 alpha=149.58 beta=104.67 gamma=83.36
Element x y z (fractional)
1 Th 0.0000 0.0000 0.0000
2 Th 0.3190 0.3190 0.0000
3 Th 0.6810 0.6810 0.0000
4 Al 0.0199 0.6593 0.3605
5 Al 0.1639 0.8832 0.2808
6 Al 0.2988 0.6593 0.6395
7 Al 0.3976 0.1168 0.2808
8 Al 0.5000 0.0000 0.5000
9 Al 0.6024 0.8832 0.7192
10 Al 0.7012 0.3407 0.3605
11 Al 0.8361 0.1168 0.7192
12 Al 0.9801 0.3407 0.6395
13 Co 0.2898 0.5000 0.7898
14 Co 0.7102 0.5000 0.2102


| no. | final energy (eV/atom) | spin magnetization (μB/cell) |
| --- | --- | --- |
| 1 | -6.835 | 9.78 |
| 2 | -7.687 | 3.69 |
| 3 | -3.547 | 0.00 |
| 4 | -6.457 | 0.00 |
| 5 | -5.559 | 3.01 |
| 6 | -5.457 | 0.00 |